Compound: Ni2P2Se3S3
Source: Alexandria via LeMat-Bulk
Functional: PBE
Structure: optimized geometry

Structure (POSCAR):
```
Ni2P2Se3S3
1.0
5.963 0.004 -0.001
-2.948 5.224 0.015
-1.999 -0.002 7.120
Ni P Se S
2 2 3 3
direct
0.332 0.671 0.995
0.665 0.324 0.994
0.961 0.012 0.848
0.040 0.999 0.156
0.576 0.651 0.772
0.070 0.639 0.224
0.430 0.356 0.225
0.277 0.004 0.792
0.714 0.998 0.204
0.935 0.346 0.790
```

Output
* calculated density: 3.8 g cm⁻³
* DOS at the Fermi energy: 0.568 states/eV per atom
* uncorrected formation energy: -1.59 eV/f.u.